Here is CsAg after structural relaxation from Alexandria via LeMat-Bulk. Energies are from PBE-GGA.

Calculated values
Total energy   -1.722 eV/atom
Energy of formation   0.130 eV per atom

a b c (Å): 10.7786 9.8646 6.4582
angles (deg): 79.67 64.21 36.12
Closest atoms and distances in Å follow each position.
Positions (direct):
Cs1 0.0461 0.7039 0.0461  8 Ag 3.74-4.12, 3 Cs 3.77-3.80
Cs2 0.2961 0.9539 0.2961  8 Ag 3.74-4.12, 3 Cs 3.77-3.80
Cs3 0.7039 0.0461 0.7039  8 Ag 3.74-4.12, 3 Cs 3.77-3.80
Cs4 0.9539 0.2961 0.9539  8 Ag 3.74-4.12, 3 Cs 3.77-3.80
Ag1 0.2987 0.2987 0.4513  1 Ag 2.83
Ag2 0.4513 0.4513 0.2987  1 Ag 2.83
Ag3 0.5487 0.5487 0.7013  1 Ag 2.83
Ag4 0.7013 0.7013 0.5487  1 Ag 2.83